VASP calculation (meta-GGA SCAN) on MgBeGe2Te at its PBEsol-relaxed geometry.

Properties
- Formation energy without anion corrections: 1.124 eV per atom
- Electronic total energy: -79.13 eV per cell
- Mass density: 3.94 g/cm³

abc: 4.9067 4.9067 5.3625
angles: 90.00 90.00 90.00
Space group P4/mmm (No. 123)
Inequivalent atoms, fractional coordinates:
1 Mg 0.0000 0.0000 0.0000 [1 per cell]
2 Be 0.5000 0.5000 0.5000 [1 per cell]
3 Ge 0.0000 0.5000 0.0000 [2 per cell]
4 Te 0.0000 0.0000 0.5000 [1 per cell]

---

VASP calculation (meta-GGA SCAN) on MgBeGeW2 at its PBEsol-relaxed geometry.

Properties
- Energy relative to the elements: 2.349 eV/atom
- Electronic total energy: -156.04 eV per cell
- Mass density: 9.38 g/cm³

abc: 4.6549 4.6549 3.8694
angles: 90.00 90.00 90.00
Space group P4/mmm (No. 123)
Inequivalent atoms, fractional coordinates:
1 Mg 0.0000 0.0000 0.0000 [1 per cell]
2 Be 0.0000 0.0000 0.5000 [1 per cell]
3 Ge 0.5000 0.5000 0.5000 [1 per cell]
4 W 0.0000 0.5000 0.0000 [2 per cell]

---

VASP calculation (meta-GGA SCAN) on Mn3BeGe at its PBEsol-relaxed geometry.

Properties
- Energy relative to the elements: 0.253 eV/atom
- Electronic total energy: -76.94 eV per cell
- Mass density: 6.73 g/cm³

abc: 3.9321 3.9321 3.9321
angles: 90.00 90.00 90.00
Space group Pm-3m (No. 221)
Inequivalent atoms, fractional coordinates:
1 Mn 0.0000 0.0000 0.5000 [3 per cell]
2 Be 0.0000 0.0000 0.0000 [1 per cell]
3 Ge 0.5000 0.5000 0.5000 [1 per cell]

---

VASP calculation (meta-GGA SCAN) on Mn4Be3Ge3SO12 at its PBEsol-relaxed geometry.

Properties
- Formation energy without anion corrections: -2.146 eV per atom
- Electronic total energy: -554.21 eV per cell
- Mass density: 3.85 g/cm³

abc: 8.4072 8.4072 8.4072
angles: 90.00 90.00 90.00
Space group P-43n (No. 218)
Inequivalent atoms, fractional coordinates:
1 Mn 0.1653 0.1653 0.1653 [8 per cell]
2 Be 0.0000 0.2500 0.5000 [6 per cell]
3 Ge 0.0000 0.5000 0.2500 [6 per cell]
4 S 0.0000 0.0000 0.0000 [2 per cell]
5 O 0.0959 0.3554 0.6328 [24 per cell]